The following is a PBE calculation of SmTeAsO after structural relaxation, from OQMD via LeMat-Bulk.

Output
The value obtained for the energy relative to the lowest polymorph listed for this composition is 20 meV per atom. The total energy is -5.64 eV per atom. Its total magnetic moment is 0.00 μB per formula unit. The crystal system is orthorhombic.

a b c (Å): 5.825 7.120 5.978
angles (deg): 90.00 90.00 90.00
Fractional coordinates of all 8 atoms:
As 0.000 0.811 0.482
As 0.000 0.189 0.982
O 0.500 0.450 0.295
O 0.500 0.550 0.795
Sm 0.500 0.691 0.491
Sm 0.500 0.309 0.991
Te 0.000 0.175 0.486
Te 0.000 0.825 0.986


The following is a PBE calculation of GdTlAsO after structural relaxation, from OQMD via LeMat-Bulk.

Output
The value obtained for the energy relative to the lowest polymorph listed for this composition is 209 meV per atom. The total energy is -5.36 eV per atom. Its total magnetic moment is 0.11 μB per formula unit. The crystal system is orthorhombic.

a b c (Å): 4.087 8.141 5.994
angles (deg): 90.00 90.00 90.00
Fractional coordinates of all 8 atoms:
As 0.000 0.332 0.424
As 0.000 0.668 0.924
Gd 0.000 0.688 0.430
Gd 0.000 0.312 0.930
O 0.500 0.791 0.417
O 0.500 0.209 0.917
Tl 0.500 0.113 0.483
Tl 0.500 0.887 0.983


The following is a PBE calculation of KU2S6 after structural relaxation, from OQMD via LeMat-Bulk.

Output
The total energy is -6.58 eV per atom. Its total magnetic moment is 3.46 μB per formula unit. The crystal system is orthorhombic.

a b c (Å): 10.877 10.877 10.877
angles (deg): 159.57 152.43 34.56
Site moments in Bohr magnetons follow the coordinates.
Fractional coordinates of all 9 atoms:
K 0.000 0.000 0.000  0.00
S 0.227 0.227 0.000  -0.08
S 0.773 0.773 0.000  -0.08
S 0.644 0.391 0.253  -0.04
S 0.862 0.609 0.253  -0.04
S 0.356 0.609 0.747  -0.04
S 0.138 0.391 0.747  -0.04
U 0.680 0.180 0.500  1.79
U 0.320 0.820 0.500  1.79